1.
A relaxed structure of TbSm2YBi5, computed with PBE.

Cell and atoms, written as POSCAR:
```
TbSm2YBi5
1.0
5.445 0.000 0.000
0.000 5.445 0.000
0.000 0.000 11.900
Tb Sm Y Bi
1 2 1 5
Cartesian
0.000 0.000 0.000
2.723 2.723 2.704
2.723 2.723 9.196
0.000 0.000 5.950
0.000 0.000 3.028
0.000 0.000 8.872
0.000 2.723 0.000
2.723 0.000 0.000
2.723 2.723 5.950
```

Computed properties:
**Calculated formation energy**: -65 meV per atom
**SG**: No. 123
**Spin magnetization**: 0.0 Bohr magnetons per cell

***

2.
A relaxed structure of Pa2Be3Si4Ir, computed with PBE.

Cell and atoms, written as POSCAR:
```
Pa2Be3Si4Ir
1.0
3.997 0.000 0.000
0.000 3.997 0.000
0.000 0.000 9.385
Pa Be Si Ir
2 3 4 1
Cartesian
0.000 1.999 2.298
1.999 0.000 7.088
0.000 1.999 8.246
1.999 0.000 1.139
1.999 1.999 4.693
0.000 0.000 0.000
0.000 1.999 6.034
1.999 0.000 3.351
1.999 1.999 0.000
0.000 0.000 4.693
```

Computed properties:
**Raw formation energy**: -0.492 eV per atom
**SG**: No. 115
**Spin magnetization**: 0.0 Bohr magnetons per cell

***

3.
A relaxed structure of LaZnOs2, computed with PBE.

Cell and atoms, written as POSCAR:
```
LaZnOs2
1.0
2.910 0.000 0.000
0.000 4.452 0.000
-0.868 0.000 5.776
La Zn Os
1 1 2
Cartesian
0.000 0.000 0.000
1.021 0.000 2.888
0.278 2.226 3.974
1.764 2.226 1.802
```

Computed properties:
**Calculated formation energy**: 403 meV per atom
**SG**: No. 10
**Spin magnetization**: 0.0 Bohr magnetons per cell

***

4.
A relaxed structure of Sm2Tm12Th, computed with PBE.

Cell and atoms, written as POSCAR:
```
Sm2Tm12Th
1.0
3.525 0.000 0.000
0.000 5.548 0.000
-1.761 0.000 23.837
Sm Tm Th
2 12 1
Cartesian
0.007 0.000 6.691
1.758 0.000 17.146
0.000 2.774 1.586
0.003 0.000 3.213
0.003 2.774 10.608
-0.001 0.000 13.661
-0.004 2.774 15.962
0.000 2.774 19.259
1.764 2.774 4.578
1.769 2.774 7.875
1.766 0.000 10.176
1.761 2.774 13.229
1.762 0.000 20.624
1.765 2.774 22.251
1.763 0.000 0.000
```

Computed properties:
**Calculated formation energy**: 102 meV per atom
**SG**: No. 10
**Spin magnetization**: 0.0 Bohr magnetons per cell

***

5.
A relaxed structure of InCo2BTe, computed with PBE.

Cell and atoms, written as POSCAR:
```
InCo2BTe
1.0
4.816 0.000 0.000
0.000 4.816 0.000
0.000 0.000 5.656
In Co B Te
1 2 1 1
Cartesian
0.000 0.000 0.000
0.000 2.408 0.000
2.408 0.000 0.000
2.408 2.408 2.828
0.000 0.000 2.828
```

Computed properties:
**Raw formation energy**: 2.118 eV per atom
**SG**: No. 123
**Spin magnetization**: 3.1 Bohr magnetons per cell

***

6.
A relaxed structure of KTl2CrIn, computed with PBE.

Cell and atoms, written as POSCAR:
```
KTl2CrIn
1.0
6.092 0.000 0.000
0.000 6.092 0.000
0.000 0.000 5.545
K Tl Cr In
1 2 1 1
Cartesian
0.000 0.000 0.000
0.000 3.046 0.000
3.046 0.000 0.000
0.000 0.000 2.773
3.046 3.046 2.773
```

Computed properties:
**Calculated formation energy**: 1145 meV per atom
**SG**: No. 123
**Spin magnetization**: 4.8 Bohr magnetons per cell

***

| no. | electronic total energy (eV/atom) |
| --- | --- |
| 1 | -4.5022 |
| 2 | -6.5643 |
| 3 | -6.7621 |
| 4 | -4.5987 |
| 5 | -3.2361 |
| 6 | -2.4934 |